An optimized crystal structure of LiZr2PAu, computed with GGA-PBE.

Structure (POSCAR):
```
LiZr2PAu
1.0
5.286 0.000 0.000
0.000 5.286 0.000
0.000 0.000 4.670
Li Zr P Au
1 2 1 1
Direct
0.000 0.000 0.000
0.000 0.500 0.500
0.500 0.000 0.500
0.500 0.500 0.000
0.500 0.500 0.500
```

Computed properties:
crystal system = tetragonal
volume = 130.5 Å³/f.u.
space group = P4/mmm
formation energy = 0.77 eV per atom
electronic total energy = -23.84 eV/f.u.


An optimized crystal structure of LiPaAu, computed with GGA-PBE.

Structure (POSCAR):
```
LiPaAu
1.0
9.829 0.000 0.000
0.000 3.884 0.000
0.000 0.000 7.381
Li Pa Au
4 4 4
Direct
0.106 0.250 0.047
0.394 0.750 0.547
0.606 0.250 0.453
0.894 0.750 0.953
0.096 0.250 0.498
0.404 0.750 0.998
0.596 0.250 0.002
0.904 0.750 0.502
0.151 0.750 0.793
0.349 0.250 0.293
0.651 0.750 0.707
0.849 0.250 0.207
```

Computed properties:
crystal system = orthorhombic
volume = 70.4 Å³/f.u.
space group = Pnma
formation energy = 0.00 eV per atom
electronic total energy = -14.69 eV/f.u.


An optimized crystal structure of LiPaAu, computed with GGA-PBE.

Structure (POSCAR):
```
LiPaAu
1.0
-1.582 1.582 5.847
1.582 -1.582 5.847
1.582 1.582 -5.847
Li Pa Au
1 1 1
Direct
0.000 0.000 0.000
0.302 0.302 0.000
0.616 0.616 0.000
```

Computed properties:
crystal system = tetragonal
volume = 58.5 Å³/f.u.
space group = I4mm
formation energy = -0.08 eV per atom
electronic total energy = -14.93 eV/f.u.


An optimized crystal structure of LiPaAu6, computed with GGA-PBE.

Structure (POSCAR):
```
LiPaAu6
1.0
4.215 -2.337 0.000
4.215 2.337 0.000
-3.487 0.000 7.774
Li Pa Au
1 1 6
Direct
0.000 0.000 0.000
0.500 0.500 0.500
0.104 0.104 0.342
0.260 0.260 0.745
0.356 0.356 0.110
0.644 0.644 0.890
0.740 0.740 0.255
0.896 0.896 0.658
```

Computed properties:
crystal system = monoclinic
volume = 153.1 Å³/f.u.
space group = C2/m
formation energy = -0.35 eV per atom
electronic total energy = -33.91 eV/f.u.


An optimized crystal structure of Li5Pa3Au12, computed with GGA-PBE.

Structure (POSCAR):
```
Li5Pa3Au12
1.0
-7.824 7.824 7.824
7.824 -7.824 7.824
7.824 7.824 -7.824
Li Pa Au
20 12 48
Direct
0.000 0.000 0.000
0.000 0.000 0.500
0.000 0.500 0.000
0.000 0.500 0.500
0.125 0.750 0.875
0.125 0.875 0.250
0.250 0.125 0.875
0.250 0.625 0.375
0.375 0.250 0.625
0.375 0.625 0.750
0.500 0.000 0.000
0.500 0.000 0.500
0.500 0.500 0.000
0.500 0.500 0.500
0.625 0.375 0.250
0.625 0.750 0.375
0.750 0.375 0.625
0.750 0.875 0.125
0.875 0.125 0.750
0.875 0.250 0.125
0.125 0.250 0.375
0.125 0.375 0.750
0.250 0.375 0.125
0.250 0.875 0.625
0.375 0.125 0.250
0.375 0.750 0.125
0.625 0.250 0.875
0.625 0.875 0.750
0.750 0.125 0.375
0.750 0.625 0.875
0.875 0.625 0.250
0.875 0.750 0.625
0.046 0.213 0.125
0.046 0.333 0.921
0.079 0.625 0.412
0.079 0.954 0.667
0.088 0.713 0.667
0.088 0.875 0.421
0.125 0.046 0.213
0.125 0.579 0.912
0.167 0.213 0.588
0.167 0.454 0.579
0.213 0.125 0.046
0.213 0.588 0.167
0.287 0.333 0.912
0.287 0.454 0.375
0.333 0.912 0.287
0.333 0.921 0.046
0.375 0.287 0.454
0.375 0.588 0.921
0.412 0.079 0.625
0.412 0.833 0.787
0.421 0.088 0.875
0.421 0.833 0.546
0.454 0.375 0.287
0.454 0.579 0.167
0.546 0.421 0.833
0.546 0.625 0.713
0.579 0.167 0.454
0.579 0.912 0.125
0.588 0.167 0.213
0.588 0.921 0.375
0.625 0.412 0.079
0.625 0.713 0.546
0.667 0.079 0.954
0.667 0.088 0.713
0.713 0.546 0.625
0.713 0.667 0.088
0.787 0.412 0.833
0.787 0.875 0.954
0.833 0.546 0.421
0.833 0.787 0.412
0.875 0.421 0.088
0.875 0.954 0.787
0.912 0.125 0.579
0.912 0.287 0.333
0.921 0.046 0.333
0.921 0.375 0.588
0.954 0.667 0.079
0.954 0.787 0.875
```

Computed properties:
crystal system = cubic
volume = 479.0 Å³/f.u.
space group = Ia-3d
formation energy = -0.06 eV per atom
electronic total energy = -78.62 eV/f.u.


An optimized crystal structure of LiPaAu3, computed with GGA-PBE.

Structure (POSCAR):
```
LiPaAu3
1.0
8.029 -2.293 0.000
8.029 2.293 0.000
-1.392 0.000 5.272
Li Pa Au
2 2 6
Direct
0.196 0.196 0.124
0.804 0.804 0.876
0.418 0.418 0.642
0.582 0.582 0.358
0.038 0.038 0.776
0.213 0.213 0.620
0.353 0.353 0.086
0.647 0.647 0.914
0.787 0.787 0.380
0.962 0.962 0.224
```

Computed properties:
crystal system = monoclinic
volume = 97.0 Å³/f.u.
space group = C2/m
formation energy = -0.36 eV per atom
electronic total energy = -23.03 eV/f.u.


An optimized crystal structure of LiPa2Au6, computed with GGA-PBE.

Structure (POSCAR):
```
LiPa2Au6
1.0
7.206 -4.162 0.000
7.206 4.162 0.000
-0.004 0.000 3.103
Li Pa Au
1 2 6
Direct
0.000 0.000 0.000
0.333 0.333 0.000
0.667 0.667 0.000
0.000 0.330 0.499
0.000 0.670 0.501
0.330 0.000 0.499
0.330 0.670 0.500
0.670 0.000 0.501
0.670 0.330 0.500
```

Computed properties:
crystal system = monoclinic
volume = 186.2 Å³/f.u.
space group = C2/m
formation energy = -0.37 eV per atom
electronic total energy = -43.94 eV/f.u.


An optimized crystal structure of Li2PaAu3, computed with GGA-PBE.

Structure (POSCAR):
```
Li2PaAu3
1.0
3.254 0.000 0.000
0.000 3.254 0.000
0.000 0.000 10.058
Li Pa Au
2 1 3
Direct
0.000 0.000 0.144
0.000 0.000 0.856
0.000 0.000 0.500
0.500 0.500 0.000
0.500 0.500 0.292
0.500 0.500 0.708
```

Computed properties:
crystal system = tetragonal
volume = 106.5 Å³/f.u.
space group = P4/mmm
formation energy = -0.45 eV per atom
electronic total energy = -25.86 eV/f.u.


no.,size of the total moment (μB/atom)
1,0.000
2,0.000
3,0.182
4,0.000
5,0.149
6,0.162
7,0.306
8,0.122